Entry 1:
# InOs2Rh

Crystalline InOs2Rh at its relaxed geometry (PBE, Alexandria via LeMat-Bulk).

Total magnetization = 0.00 Bohr magnetons per cell
Calculated total energy = -32.10 eV for the cell shown
E_form = 0.4 eV/f.u.
SG = No. 99

Cell lengths 2.8433, 2.8433, 7.7690 Å; angles 90.00, 90.00, 90.00 degrees
Closest atoms and distances in Å follow each position.
Fractional positions:
In (0.0000, 0.0000, 0.0000)  4 In 2.84, 4 Rh 2.86, 4 Os 2.95
Os (0.0000, 0.0000, 0.4954)  8 Os 2.62-2.84, 4 Rh 2.76
Os (0.5000, 0.5000, 0.2784)  8 Os 2.62-2.84
Rh (0.5000, 0.5000, 0.7384)  4 Os 2.76, 4 Rh 2.84, 4 In 2.86

Entry 2:
# InOs2Rh

Crystalline InOs2Rh at its relaxed geometry (PBE, Alexandria via LeMat-Bulk).

Total magnetization = 0.00 Bohr magnetons per cell
Calculated total energy = -52.04 eV for the cell shown
E_form = 6.5 eV/f.u.
SG = No. 122

Cell lengths 6.9159, 6.9159, 6.9159 Å; angles 129.13, 129.13, 74.80 degrees
Closest atoms and distances in Å follow each position.
Fractional positions:
In (0.0000, 0.0000, 0.0000)  4 Os 2.67
In (0.7500, 0.2500, 0.5000)  4 Os 2.67
Os (0.1679, 0.6250, 0.0429)  2 Rh 2.37
Os (0.3750, 0.4179, 0.5429)  2 Rh 2.37
Os (0.5821, 0.1250, 0.9571)  2 Rh 2.37
Os (0.8750, 0.8321, 0.4571)  2 Rh 2.37
Rh (0.2500, 0.7500, 0.5000)  4 Os 2.37
Rh (0.5000, 0.5000, 0.0000)  4 Os 2.37

Entry 3:
# InOs2Rh

Crystalline InOs2Rh at its relaxed geometry (PBE, Alexandria via LeMat-Bulk).

Total magnetization = 0.01 Bohr magnetons per cell
Calculated total energy = -29.71 eV for the cell shown
E_form = 2.8 eV/f.u.
SG = No. 65

Cell lengths 2.7960, 2.7960, 9.4740 Å; angles 90.00, 90.00, 119.85 degrees
Closest atoms and distances in Å follow each position.
Fractional positions:
In (0.0000, 0.0000, 0.0000)  6 In 2.80, 4 Os 2.83
Os (0.5000, 0.5000, 0.2599)  2 Rh 2.67, 6 Os 2.80, 2 In 2.83
Os (0.5000, 0.5000, 0.7401)  2 Rh 2.67, 6 Os 2.80, 2 In 2.83
Rh (0.0000, 0.0000, 0.5000)  4 Os 2.67, 6 Rh 2.80

Entry 4:
# InOs2Rh

Crystalline InOs2Rh at its relaxed geometry (PBE, Alexandria via LeMat-Bulk).

Total magnetization = 0.00 Bohr magnetons per cell
Calculated total energy = -31.22 eV for the cell shown
E_form = 1.3 eV/f.u.
SG = No. 10

Cell lengths 4.7244, 2.8190, 4.8998 Å; angles 90.00, 107.38, 90.00 degrees
Closest atoms and distances in Å follow each position.
Fractional positions:
In (0.0000, 0.0000, 0.0000)  4 Rh 2.75, 2 In 2.82, 6 Os 2.83-2.85
Os (0.0000, 0.5000, 0.5000)  6 Os 2.75-2.82, 4 In 2.83, 2 Rh 2.85
Os (0.5000, 0.0000, 0.5000)  6 Os 2.75-2.82, 4 Rh 2.83, 2 In 2.85
Rh (0.5000, 0.5000, 0.0000)  4 In 2.75, 2 Rh 2.82, 6 Os 2.83-2.85

Entry 5:
# In2OsRh2

Crystalline In2OsRh2 at its relaxed geometry (PBE, Alexandria via LeMat-Bulk).

Energy above the most stable polymorph in this dataset = 288.8 meV/atom
Total magnetization = 0.67 Bohr magnetons per cell
Calculated total energy = -28.38 eV for the cell shown
E_form = 3.0 eV/f.u.
SG = No. 139

Cell lengths 7.9205, 7.9205, 7.9205 Å; angles 154.38, 154.38, 36.55 degrees
Closest atoms and distances in Å follow each position.
Fractional positions:
In (0.1001, 0.1001, 0.0000)  4 Rh 2.86, 4 Os 2.90, 1 In 3.01
In (0.8999, 0.8999, 0.0000)  4 Rh 2.86, 4 Os 2.90, 1 In 3.01
Os (0.5000, 0.5000, 0.0000)  8 In 2.90
Rh (0.2500, 0.7500, 0.5000)  4 Rh 2.48
Rh (0.7500, 0.2500, 0.5000)  4 Rh 2.48

Entry 6:
# InOs2Rh

Crystalline InOs2Rh at its relaxed geometry (PBE, Alexandria via LeMat-Bulk).

Total magnetization = 0.00 Bohr magnetons per cell
Calculated total energy = -31.17 eV for the cell shown
E_form = 1.4 eV/f.u.
SG = No. 119

Cell lengths 4.7787, 4.7787, 4.7787 Å; angles 130.15, 130.15, 73.17 degrees
Closest atoms and distances in Å follow each position.
Fractional positions:
In (0.0000, 0.0000, 0.0000)  8 Os 2.78-2.85, 4 Rh 2.78
Os (0.2500, 0.7500, 0.5000)  4 In 2.78, 4 Os 2.78, 4 Rh 2.85
Os (0.5000, 0.5000, 0.0000)  4 Os 2.78, 4 Rh 2.78, 4 In 2.85
Rh (0.7500, 0.2500, 0.5000)  4 In 2.78, 8 Os 2.78-2.85

Entry 7:
# InOs2Rh

Crystalline InOs2Rh at its relaxed geometry (PBE, Alexandria via LeMat-Bulk).

Total magnetization = 0.00 Bohr magnetons per cell
Calculated total energy = -30.60 eV for the cell shown
E_form = 1.9 eV/f.u.
SG = No. 65

Cell lengths 4.9307, 4.9307, 2.8160 Å; angles 90.00, 90.00, 113.64 degrees
Closest atoms and distances in Å follow each position.
Fractional positions:
In (0.0000, 0.0000, 0.0000)  2 Rh 2.70, 2 In 2.82, 8 Os 2.84
Os (0.0000, 0.5000, 0.5000)  4 Os 2.70-2.82, 4 In 2.84, 4 Rh 2.84
Os (0.5000, 0.0000, 0.5000)  4 Os 2.70-2.82, 4 In 2.84, 4 Rh 2.84
Rh (0.5000, 0.5000, 0.0000)  2 In 2.70, 2 Rh 2.82, 8 Os 2.84

Entry 8:
# Sc5In2Os2Rh

Crystalline Sc5In2Os2Rh at its relaxed geometry (PBE, Alexandria via LeMat-Bulk).

Total magnetization = 0.00 Bohr magnetons per cell
Calculated total energy = -141.81 eV for the cell shown
E_form = -4.0 eV/f.u.
SG = No. 127

Cell lengths 11.1733, 11.1733, 3.2599 Å; angles 90.00, 90.00, 90.00 degrees
Closest atoms and distances in Å follow each position.
Fractional positions:
Sc (0.0000, 0.5000, 0.0000)  4 Os 2.71
Sc (0.0646, 0.1952, 0.0000)  2 Os 2.61, 2 Rh 2.82
Sc (0.1952, 0.9354, 0.0000)  2 Os 2.61, 2 Rh 2.82
Sc (0.3048, 0.4354, 0.0000)  2 Os 2.61, 2 Rh 2.82
Sc (0.4354, 0.6952, 0.0000)  2 Os 2.61, 2 Rh 2.82
Sc (0.5000, 0.0000, 0.0000)  4 Os 2.71
Sc (0.5646, 0.3048, 0.0000)  2 Os 2.61, 2 Rh 2.82
Sc (0.6952, 0.5646, 0.0000)  2 Os 2.61, 2 Rh 2.82
Sc (0.8048, 0.0646, 0.0000)  2 Os 2.61, 2 Rh 2.82
Sc (0.9354, 0.8048, 0.0000)  2 Os 2.61, 2 Rh 2.82
In (0.1761, 0.6761, 0.5000)  1 Os 2.96, 2 Sc 3.22, 2 In 3.26
In (0.3239, 0.1761, 0.5000)  1 Os 2.96, 2 Sc 3.22, 2 In 3.26
In (0.6761, 0.8239, 0.5000)  1 Os 2.96, 2 Sc 3.22, 2 In 3.26
In (0.8239, 0.3239, 0.5000)  1 Os 2.96, 2 Sc 3.22, 2 In 3.26
Os (0.1368, 0.3632, 0.5000)  6 Sc 2.61-2.71
Os (0.3632, 0.8632, 0.5000)  6 Sc 2.61-2.71
Os (0.6368, 0.1368, 0.5000)  6 Sc 2.61-2.71
Os (0.8632, 0.6368, 0.5000)  6 Sc 2.61-2.71
Rh (0.0000, 0.0000, 0.5000)  8 Sc 2.82
Rh (0.5000, 0.5000, 0.5000)  8 Sc 2.82

Entry 9:
# Sc5In2OsRh2

Crystalline Sc5In2OsRh2 at its relaxed geometry (PBE, Alexandria via LeMat-Bulk).

Total magnetization = 0.00 Bohr magnetons per cell
Calculated total energy = -137.72 eV for the cell shown
E_form = -5.8 eV/f.u.
SG = No. 127

Cell lengths 11.1055, 11.1055, 3.2648 Å; angles 90.00, 90.00, 90.00 degrees
Closest atoms and distances in Å follow each position.
Fractional positions:
Sc (0.0000, 0.5000, 0.0000)  4 Rh 2.66
Sc (0.0642, 0.1915, 0.0000)  2 Rh 2.65, 2 Os 2.77
Sc (0.1915, 0.9358, 0.0000)  2 Rh 2.65, 2 Os 2.77
Sc (0.3085, 0.4358, 0.0000)  2 Rh 2.65, 2 Os 2.77
Sc (0.4358, 0.6915, 0.0000)  2 Rh 2.65, 2 Os 2.77
Sc (0.5000, 0.0000, 0.0000)  4 Rh 2.66
Sc (0.5642, 0.3085, 0.0000)  2 Rh 2.65, 2 Os 2.77
Sc (0.6915, 0.5642, 0.0000)  2 Rh 2.65, 2 Os 2.77
Sc (0.8085, 0.0642, 0.0000)  2 Rh 2.65, 2 Os 2.77
Sc (0.9358, 0.8085, 0.0000)  2 Rh 2.65, 2 Os 2.77
In (0.1752, 0.6752, 0.5000)  1 Rh 3.00, 6 Sc 3.20-3.33, 2 In 3.26
In (0.3248, 0.1752, 0.5000)  1 Rh 3.00, 6 Sc 3.20-3.33, 2 In 3.26
In (0.6752, 0.8248, 0.5000)  1 Rh 3.00, 6 Sc 3.20-3.33, 2 In 3.26
In (0.8248, 0.3248, 0.5000)  1 Rh 3.00, 6 Sc 3.20-3.33, 2 In 3.26
Os (0.0000, 0.0000, 0.5000)  8 Sc 2.77
Os (0.5000, 0.5000, 0.5000)  8 Sc 2.77
Rh (0.1340, 0.3660, 0.5000)  6 Sc 2.65-2.66
Rh (0.3660, 0.8660, 0.5000)  6 Sc 2.65-2.66
Rh (0.6340, 0.1340, 0.5000)  6 Sc 2.65-2.66
Rh (0.8660, 0.6340, 0.5000)  6 Sc 2.65-2.66

Entry 10:
# ScInOsRh

Crystalline ScInOsRh at its relaxed geometry (PBE, Alexandria via LeMat-Bulk).

Total magnetization = 0.00 Bohr magnetons per cell
Calculated total energy = -29.03 eV for the cell shown
E_form = -1.4 eV/f.u.
SG = No. 216

Cell lengths 4.5688, 4.5688, 4.5688 Å; angles 60.00, 60.00, 60.00 degrees
Closest atoms and distances in Å follow each position.
Fractional positions:
Sc (0.0000, 0.0000, 0.0000)  4 Rh 2.80, 4 Os 2.80
In (0.5000, 0.5000, 0.5000)  4 Rh 2.80, 4 Os 2.80
Os (0.2500, 0.2500, 0.2500)  4 In 2.80, 4 Sc 2.80
Rh (0.7500, 0.7500, 0.7500)  4 In 2.80, 4 Sc 2.80

Entry 11:
# ScIn2OsRh

Crystalline ScIn2OsRh at its relaxed geometry (PBE, Alexandria via LeMat-Bulk).

Total magnetization = 2.48 Bohr magnetons per cell
Calculated total energy = -22.77 eV for the cell shown
E_form = 7.6 eV/f.u.
SG = No. 123

Cell lengths 5.3268, 5.3268, 4.4487 Å; angles 90.00, 90.00, 90.00 degrees
Closest atoms and distances in Å follow each position.
Fractional positions:
Sc (0.0000, 0.0000, 0.0000)  2 Rh 2.22
In (0.0000, 0.5000, 0.0000)  2 Sc 2.66
In (0.5000, 0.0000, 0.0000)  2 Sc 2.66
Os (0.5000, 0.5000, 0.5000)  8 In 3.47, 4 Rh 3.77
Rh (0.0000, 0.0000, 0.5000)  2 Sc 2.22

Entry 12:
# InOsRhSe2

Crystalline InOsRhSe2 at its relaxed geometry (PBE, Alexandria via LeMat-Bulk).

Total magnetization = 0.00 Bohr magnetons per cell
Calculated total energy = -23.53 eV for the cell shown
E_form (uncorrected) = 0.95 eV/atom
SG = No. 123

Cell lengths 4.8718, 4.8718, 4.7957 Å; angles 90.00, 90.00, 90.00 degrees
Closest atoms and distances in Å follow each position.
Fractional positions:
In (0.0000, 0.0000, 0.0000)  8 Se 3.42, 4 Os 3.44
Os (0.5000, 0.5000, 0.0000)  2 Rh 2.40
Rh (0.5000, 0.5000, 0.5000)  2 Os 2.40, 4 Se 2.44
Se (0.0000, 0.5000, 0.5000)  2 Rh 2.44
Se (0.5000, 0.0000, 0.5000)  2 Rh 2.44

Entry 13:
# SrInOs2Rh

Crystalline SrInOs2Rh at its relaxed geometry (PBE, Alexandria via LeMat-Bulk).

Total magnetization = 1.26 Bohr magnetons per cell
Calculated total energy = -18.82 eV for the cell shown
E_form = 15.4 eV/f.u.
SG = No. 123

Cell lengths 4.7678, 4.7678, 5.2984 Å; angles 90.00, 90.00, 90.00 degrees
Closest atoms and distances in Å follow each position.
Fractional positions:
Sr (0.0000, 0.0000, 0.0000)  4 Os 2.38, 2 In 2.65
In (0.0000, 0.0000, 0.5000)  2 Sr 2.65
Os (0.0000, 0.5000, 0.0000)  2 Sr 2.38
Os (0.5000, 0.0000, 0.0000)  2 Sr 2.38
Rh (0.5000, 0.5000, 0.5000)  4 In 3.37, 8 Os 3.56

Entry 14:
# TaInOsRh

Crystalline TaInOsRh at its relaxed geometry (PBE, Alexandria via LeMat-Bulk).

Total magnetization = 0.00 Bohr magnetons per cell
Calculated total energy = -33.94 eV for the cell shown
E_form = -0.8 eV/f.u.
SG = No. 216

Cell lengths 4.5426, 4.5426, 4.5426 Å; angles 60.00, 60.00, 60.00 degrees
Closest atoms and distances in Å follow each position.
Fractional positions:
Ta (0.0000, 0.0000, 0.0000)  4 Os 2.78, 4 Rh 2.78
In (0.5000, 0.5000, 0.5000)  4 Os 2.78, 4 Rh 2.78
Os (0.2500, 0.2500, 0.2500)  4 Ta 2.78, 4 In 2.78
Rh (0.7500, 0.7500, 0.7500)  4 Ta 2.78, 4 In 2.78